Record 1
A plane-wave DFT calculation with GGA-PBEsol was carried out for Ta3AlH after structural relaxation.

```
5
Lattice="4.127 0.000 0.000 0.000 4.127 0.000 0.000 0.000 4.127" Properties=species:S:1:pos:R:3 pbc="T T T"
H 0.000 0.000 0.000
Al 2.064 2.064 2.064
Ta 0.000 2.064 0.000
Ta 0.000 0.000 2.064
Ta 2.064 0.000 0.000
```

Values from the calculation:
DFT total energy: -45.620 eV per formula unit

---

Record 2
A plane-wave DFT calculation with GGA-PBEsol was carried out for Ta2AlH2 after structural relaxation.

```
5
Lattice="3.522 0.000 0.000 0.000 3.522 0.000 -1.761 -1.761 4.494" Properties=species:S:1:pos:R:3 pbc="T T T"
H 0.000 1.761 2.247
H 1.761 0.000 2.247
Al 0.000 0.000 0.000
Ta 0.000 0.000 3.033
Ta 1.761 1.761 1.461
```

Values from the calculation:
DFT total energy: -36.424 eV per formula unit

---

Record 3
A plane-wave DFT calculation with GGA-PBEsol was carried out for AlTeH2 after structural relaxation.

```
8
Lattice="-4.914 1.939 -1.145 1.362 -1.079 5.090 0.771 4.031 3.518" Properties=species:S:1:pos:R:3 pbc="T T T"
H -0.793 1.533 4.647
H 0.114 3.342 6.527
H -3.629 3.153 1.777
H -1.254 1.755 1.976
Te -2.426 3.938 4.325
Te 0.000 0.000 0.000
Al -0.355 0.953 3.138
Al -2.072 2.985 1.187
```

Values from the calculation:
DFT total energy: -13.372 eV per formula unit

---

Record 4
A plane-wave DFT calculation with GGA-PBEsol was carried out for Zr2TiAlH after structural relaxation.

```
5
Lattice="-3.063 -0.393 -0.866 1.521 -1.155 -4.854 0.282 -5.047 1.289" Properties=species:S:1:pos:R:3 pbc="T T T"
H -1.532 -0.196 -0.433
Al -0.630 -3.297 -2.216
Zr 0.141 -2.523 0.645
Zr 0.760 -0.578 -2.427
Ti 0.000 0.000 0.000
```

Values from the calculation:
DFT total energy: -31.550 eV per formula unit

---

Record 5
A plane-wave DFT calculation with GGA-PBEsol was carried out for AlTlH2 after structural relaxation.

```
4
Lattice="4.205 0.000 0.000 2.103 3.642 0.000 2.103 1.214 3.433" Properties=species:S:1:pos:R:3 pbc="T T T"
H 2.103 1.214 0.858
H 6.308 3.642 2.575
Tl 4.205 2.428 1.717
Al 0.000 0.000 0.000
```

Values from the calculation:
DFT total energy: -10.723 eV per formula unit

---

Record 6
A plane-wave DFT calculation with GGA-PBEsol was carried out for Al2TlH after structural relaxation.

```
4
Lattice="4.539 0.000 0.000 2.270 3.931 0.000 2.270 1.310 3.706" Properties=species:S:1:pos:R:3 pbc="T T T"
H 0.000 0.000 0.000
Tl 4.539 2.621 1.853
Al 2.270 1.310 0.927
Al 6.809 3.931 2.780
```

Values from the calculation:
DFT total energy: -11.865 eV per formula unit

---

Record 7
A plane-wave DFT calculation with GGA-PBEsol was carried out for Y2Al2H after structural relaxation.

```
10
Lattice="-3.713 0.341 -3.278 2.539 -4.925 -3.389 -3.485 -4.211 3.509" Properties=species:S:1:pos:R:3 pbc="T T T"
Y -2.056 -5.139 1.794
Y -0.215 -6.911 -0.476
Y 1.111 -3.997 -1.674
Y -0.731 -2.225 0.596
H 0.000 0.000 0.000
H -0.473 -4.568 0.060
Al -3.734 -3.240 0.133
Al -3.211 -6.605 -0.810
Al -0.925 -5.554 -3.290
Al -1.448 -2.190 -2.348
```

Values from the calculation:
DFT total energy: -26.076 eV per formula unit

---

Record 8
A plane-wave DFT calculation with GGA-PBEsol was carried out for YAlH2 after structural relaxation.

```
8
Lattice="-0.435 1.836 4.046 4.013 -1.583 1.149 0.401 4.178 -4.315" Properties=species:S:1:pos:R:3 pbc="T T T"
Y 3.101 1.361 -0.284
Y 0.000 0.000 0.000
H 3.431 0.422 1.609
H 1.242 1.983 2.728
H 0.911 3.101 -2.540
H 2.374 3.356 -0.036
Al 0.878 3.070 1.164
Al 1.789 0.126 2.598
```

Values from the calculation:
DFT total energy: -18.288 eV per formula unit

---

Record 9
A plane-wave DFT calculation with GGA-PBEsol was carried out for ZrAl3H after structural relaxation.

```
5
Lattice="-0.926 -3.971 -0.436 -0.417 -0.349 4.065 -3.973 0.963 -0.325" Properties=species:S:1:pos:R:3 pbc="T T T"
H 0.000 0.000 0.000
Al -0.209 -0.174 2.032
Al -1.986 0.481 -0.163
Al -0.463 -1.985 -0.218
Zr -2.658 -1.678 1.652
```

Values from the calculation:
DFT total energy: -26.252 eV per formula unit

---

Record 10
A plane-wave DFT calculation with GGA-PBEsol was carried out for Zr2Al2H after structural relaxation.

```
10
Lattice="4.885 0.000 0.000 0.000 5.874 0.000 0.000 0.000 5.874" Properties=species:S:1:pos:R:3 pbc="T T T"
H 0.000 0.000 0.000
H 0.000 2.937 2.937
Al 2.443 0.928 3.865
Al 2.443 3.865 4.947
Al 2.443 4.947 2.009
Al 2.443 2.009 0.928
Zr 0.000 1.965 4.902
Zr 0.000 4.902 3.909
Zr 0.000 3.909 0.972
Zr 0.000 0.972 1.965
```

Values from the calculation:
DFT total energy: -30.610 eV per formula unit

---

Record 11
A plane-wave DFT calculation with GGA-PBEsol was carried out for ZrAl2H2 after structural relaxation.

```
10
Lattice="-0.441 2.498 3.093 -2.358 -4.056 2.940 4.972 -1.499 1.920" Properties=species:S:1:pos:R:3 pbc="T T T"
H 3.351 -2.587 2.567
H 1.369 -4.373 3.727
H -0.736 -2.968 2.292
H 1.246 -1.182 1.132
Al 3.088 -1.247 4.034
Al 1.268 -3.082 5.257
Al -0.914 -1.810 3.918
Al 0.905 0.025 2.696
Zr 0.000 0.000 0.000
Zr 1.307 -2.778 2.430
```

Values from the calculation:
DFT total energy: -24.774 eV per formula unit

---

Record 12
A plane-wave DFT calculation with GGA-PBEsol was carried out for Hf2Al3 after structural relaxation.

```
10
Lattice="5.468 -0.001 0.000 -2.722 4.742 0.000 -1.373 -2.371 6.834" Properties=species:S:1:pos:R:3 pbc="T T T"
Hf 2.559 -1.517 6.111
Hf -1.216 3.835 0.723
Hf 0.145 1.464 2.694
Hf -2.897 3.226 4.140
Al 1.022 1.765 0.000
Al 2.383 -0.606 3.417
Al -1.488 0.889 4.968
Al 2.884 1.523 1.866
Al 1.523 3.894 1.551
Al 1.246 0.888 5.283
```

Values from the calculation:
ΔE_f: -2.12 eV/f.u.

---

Record 13
A plane-wave DFT calculation with GGA-PBEsol was carried out for HfAl after structural relaxation.

```
4
Lattice="3.201 0.000 0.000 0.000 4.270 0.000 -1.601 0.000 5.401" Properties=species:S:1:pos:R:3 pbc="T T T"
Hf 1.601 1.067 3.629
Hf 0.000 3.202 1.772
Al 1.601 1.067 0.757
Al 0.000 3.202 4.644
```

Values from the calculation:
ΔE_f: -0.80 eV/f.u.

---

Record 14
A plane-wave DFT calculation with GGA-PBEsol was carried out for Hf3Al2 after structural relaxation.

```
20
Lattice="-0.271 -5.837 3.561 5.196 -2.975 -4.483 5.372 2.526 4.550" Properties=species:S:1:pos:R:3 pbc="T T T"
Hf 3.672 -0.156 0.023
Hf 5.087 -5.055 -1.324
Hf 5.210 -1.232 4.952
Hf 6.896 -0.293 0.044
Hf 5.232 -1.847 -2.630
Hf 7.317 -3.235 1.828
Hf 2.981 -3.051 1.800
Hf 5.336 1.398 2.697
Hf 2.530 -2.947 -1.351
Hf 2.395 -5.866 0.429
Hf 2.618 -0.196 3.165
Hf 2.483 -3.115 4.945
Al 1.228 -1.263 0.745
Al 5.071 -5.020 1.453
Al 5.114 -3.683 3.649
Al 9.228 -1.603 0.796
Al 5.226 -1.267 2.175
Al 5.183 -2.604 -0.021
Al 1.070 -4.684 2.832
Al 9.069 -5.024 2.883
```

Values from the calculation:
ΔE_f: -1.60 eV/f.u.

---

Record 15
A plane-wave DFT calculation with GGA-PBEsol was carried out for HfAl2Hg after structural relaxation.

```
8
Lattice="-2.759 -0.678 4.984 -5.144 -3.054 0.039 1.270 -4.790 3.353" Properties=species:S:1:pos:R:3 pbc="T T T"
Hf -2.627 -4.091 2.942
Hf -1.379 -0.339 2.492
Hg -4.006 -4.430 5.434
Hg 0.000 0.000 0.000
Al 0.262 -2.659 2.260
Al -6.206 -5.693 4.870
Al -2.497 -6.528 5.158
Al -4.826 -2.163 4.463
```

Values from the calculation:
ΔE_f: 0.50 eV/f.u.

---

Record 16
A plane-wave DFT calculation with GGA-PBEsol was carried out for Ho4HfAl15 after structural relaxation.

```
20
Lattice="4.171 0.000 0.000 0.000 4.171 0.000 0.000 0.000 20.851" Properties=species:S:1:pos:R:3 pbc="T T T"
Hf 0.000 0.000 0.000
Ho 0.000 0.000 4.088
Ho 0.000 0.000 8.317
Ho 0.000 0.000 12.534
Ho 0.000 0.000 16.763
Al 2.085 2.085 0.000
Al 2.085 2.085 4.102
Al 2.085 2.085 8.313
Al 2.085 2.085 12.538
Al 2.085 2.085 16.750
Al 2.085 0.000 1.991
Al 2.085 0.000 6.209
Al 2.085 0.000 10.426
Al 2.085 0.000 14.643
Al 2.085 0.000 18.860
Al 0.000 2.085 1.991
Al 0.000 2.085 6.209
Al 0.000 2.085 10.426
Al 0.000 2.085 14.643
Al 0.000 2.085 18.860
```

Values from the calculation:
ΔE_f: -8.60 eV/f.u.

---

Record 17
A plane-wave DFT calculation with GGA-PBEsol was carried out for Hf2AlIN after structural relaxation.

```
5
Lattice="-0.978 1.652 2.979 3.807 -2.433 2.598 3.257 3.916 -1.104" Properties=species:S:1:pos:R:3 pbc="T T T"
I 3.043 1.568 2.237
Hf 1.628 1.958 -0.552
Hf 1.903 -1.216 1.299
Al 0.000 0.000 0.000
N -0.489 0.826 1.490
```

Values from the calculation:
uncorrected formation energy: 0.5649 eV per atom

---

Record 18
A plane-wave DFT calculation with GGA-PBEsol was carried out for HfAlI2O after structural relaxation.

```
5
Lattice="3.935 0.000 0.000 0.000 5.759 0.000 0.000 0.000 5.759" Properties=species:S:1:pos:R:3 pbc="T T T"
I 0.000 0.000 2.879
I 0.000 2.879 0.000
Hf 0.000 0.000 0.000
Al 1.968 2.879 2.879
O 1.968 0.000 0.000
```

Values from the calculation:
uncorrected formation energy: -0.9095 eV per atom

---

Record 19
A plane-wave DFT calculation with GGA-PBEsol was carried out for HfAlSb2I after structural relaxation.

```
5
Lattice="-1.879 2.248 4.248 -4.735 -0.085 -2.049 -0.833 -4.703 2.120" Properties=species:S:1:pos:R:3 pbc="T T T"
I -0.417 -2.351 1.060
Sb -2.367 -0.042 -1.025
Sb -0.939 1.124 2.124
Hf -3.724 -1.270 2.159
Al 0.000 0.000 0.000
```

Values from the calculation:
uncorrected formation energy: 0.6897 eV per atom

---

Record 20
A plane-wave DFT calculation with GGA-PBEsol was carried out for Hf2Al2Ir after structural relaxation.

```
10
Lattice="-0.888 -2.118 3.403 5.019 -3.927 -1.134 3.840 3.915 3.439" Properties=species:S:1:pos:R:3 pbc="T T T"
Ir 0.000 0.000 0.000
Ir 4.429 -0.006 1.153
Hf 2.981 0.896 3.813
Hf 6.105 -0.440 3.797
Hf 4.990 -3.026 1.895
Hf 1.865 -1.690 1.911
Al 5.135 1.953 2.556
Al 6.777 -0.895 1.212
Al 3.724 -1.965 -0.251
Al 2.081 0.883 1.093
```

Values from the calculation:
ΔE_f: -2.93 eV/f.u.